VASP calculation (PBE) on a relaxed structure of La2Zr2O7.

The crystal system is cubic.

abc: 7.634 7.634 7.634
angles: 120.00 90.00 120.00
Element x y z (fractional)
O: 0.041 0.500 0.959
O: 0.459 0.918 0.959
O: 0.459 0.500 0.959
O: 0.291 0.582 0.291
O: 0.709 0.000 0.291
O: 0.459 0.500 0.541
O: 0.709 0.418 0.709
O: 0.041 0.500 0.541
O: 0.000 0.000 0.000
O: 0.041 0.082 0.541
O: 0.750 0.500 0.250
O: 0.291 0.000 0.709
O: 0.291 0.000 0.291
O: 0.709 0.000 0.709
La: 0.875 0.250 0.125
La: 0.375 0.250 0.125
La: 0.875 0.750 0.625
La: 0.875 0.750 0.125
Zr: 0.375 0.750 0.125
Zr: 0.375 0.750 0.625
Zr: 0.875 0.250 0.625
Zr: 0.375 0.250 0.625


VASP calculation (PBE) on a relaxed structure of LaOs.

The crystal system is hexagonal. The calculation puts the formation energy at -0.127 eV/atom.

abc: 4.953 4.953 4.925
angles: 90.00 90.00 120.00
Element x y z (fractional)
La: 0.333 0.667 0.750
La: 0.667 0.333 0.250
Os: 0.000 0.000 0.000
Os: 0.000 0.000 0.500


VASP calculation (PBE) on a relaxed structure of La5Os2.

The crystal system is monoclinic. The calculation puts the formation energy at -0.182 eV/atom.

abc: 9.027 9.027 7.434
angles: 95.27 95.27 44.00
Element x y z (fractional)
La: 0.212 0.357 0.180
La: 0.574 0.426 0.750
La: 0.201 0.983 0.906
La: 0.799 0.017 0.094
La: 0.788 0.643 0.820
La: 0.357 0.212 0.680
La: 0.643 0.788 0.320
La: 0.426 0.574 0.250
La: 0.983 0.201 0.406
La: 0.017 0.799 0.594
Os: 0.175 0.604 0.925
Os: 0.604 0.175 0.425
Os: 0.825 0.396 0.075
Os: 0.396 0.825 0.575


VASP calculation (PBE) on a relaxed structure of LaOs.

The crystal system is cubic. The calculation puts the formation energy at 0.748 eV/atom.

abc: 4.171 4.171 4.171
angles: 60.00 60.00 60.00
Each line ends with the local moment (μB).
Element x y z (fractional)
La: 0.000 0.000 0.000  -0.01
Os: 0.500 0.500 0.500  0.97


VASP calculation (PBE) on a relaxed structure of La3Os.

The crystal system is orthorhombic. The calculation puts the formation energy at -0.162 eV/atom.

abc: 7.465 10.019 6.599
angles: 90.00 90.00 90.00
Element x y z (fractional)
Os: 0.617 0.250 0.945
Os: 0.883 0.750 0.445
Os: 0.383 0.750 0.055
Os: 0.117 0.250 0.555
La: 0.670 0.569 0.172
La: 0.170 0.569 0.328
La: 0.330 0.069 0.828
La: 0.670 0.931 0.172
La: 0.830 0.431 0.672
La: 0.830 0.069 0.672
La: 0.953 0.250 0.147
La: 0.330 0.431 0.828
La: 0.047 0.750 0.853
La: 0.547 0.750 0.647
La: 0.453 0.250 0.353
La: 0.170 0.931 0.328


VASP calculation (PBE) on a relaxed structure of LaPrP2Os2S2.

The crystal system is tetragonal.

abc: 4.194 4.194 9.148
angles: 90.00 90.00 90.00
Element x y z (fractional)
P: 0.000 0.000 0.625
P: 0.500 0.500 0.376
S: 0.000 0.500 0.998
S: 0.500 0.000 0.998
Os: 0.000 0.500 0.502
Os: 0.500 0.000 0.502
La: 0.000 0.000 0.203
Pr: 0.500 0.500 0.797


VASP calculation (PBE) on a relaxed structure of LaPaOs.

The crystal system is cubic. The calculation puts the formation energy at 0.113 eV/atom.

abc: 4.861 4.861 4.861
angles: 60.00 60.00 60.00
Element x y z (fractional)
Os: 0.000 0.000 0.000
Pa: 0.750 0.750 0.750
La: 0.250 0.250 0.250


VASP calculation (PBE) on a relaxed structure of La3OsPb.

The crystal system is monoclinic.

abc: 8.379 4.804 8.845
angles: 90.00 117.36 90.00
Element x y z (fractional)
La: 0.329 0.500 0.714
La: 0.726 0.000 0.009
La: 0.927 0.000 0.567
La: 0.138 0.500 0.992
La: 0.621 0.500 0.288
La: 0.368 0.000 0.428
Os: 0.464 0.000 0.153
Os: 0.242 0.000 0.840
Pb: 0.023 0.500 0.304
Pb: 0.707 0.500 0.699


VASP calculation (PBE) on a relaxed structure of LaOsPb3.

The crystal system is orthorhombic.

abc: 14.845 14.845 3.536
angles: 90.00 90.00 159.29
Element x y z (fractional)
La: 0.152 0.848 0.500
La: 0.848 0.152 0.500
Pb: 0.277 0.723 0.500
Pb: 0.432 0.568 0.500
Pb: 0.568 0.432 0.500
Pb: 0.052 0.948 0.000
Pb: 0.948 0.052 0.000
Pb: 0.723 0.277 0.500
Os: 0.647 0.353 0.000
Os: 0.353 0.647 0.000


VASP calculation (PBE) on a relaxed structure of LaOsPd.

The crystal system is cubic. For the energy relative to the lowest polymorph listed for this composition, the calculation gives 0 meV/atom. The calculation puts the formation energy at 0.434 eV/atom.

abc: 4.639 4.639 4.639
angles: 60.00 60.00 60.00
Element x y z (fractional)
La: 0.250 0.250 0.250
Os: 0.750 0.750 0.750
Pd: 0.000 0.000 0.000


VASP calculation (PBE) on a relaxed structure of LaOsPd.

The crystal system is cubic. For the energy relative to the lowest polymorph listed for this composition, the calculation gives 375 meV/atom. The calculation puts the formation energy at 0.809 eV/atom.

abc: 4.612 4.612 4.612
angles: 60.00 60.00 60.00
Each line ends with the local moment (μB).
Element x y z (fractional)
La: 0.000 0.000 0.000  -0.02
Os: 0.250 0.250 0.250  0.64
Pd: 0.750 0.750 0.750  0.08


VASP calculation (PBE) on a relaxed structure of LaSi2OsPd.

The crystal system is tetragonal.

abc: 5.955 5.955 5.955
angles: 139.12 139.12 59.20
Element x y z (fractional)
La: 0.000 0.000 0.000
Si: 0.625 0.625 0.000
Si: 0.375 0.375 0.000
Os: 0.250 0.750 0.500
Pd: 0.750 0.250 0.500


VASP calculation (PBE) on a relaxed structure of LaPrOs.

The crystal system is cubic. For the energy relative to the lowest polymorph listed for this composition, the calculation gives 0 meV/atom. The calculation puts the formation energy at 0.662 eV/atom.

abc: 4.857 4.857 4.857
angles: 60.00 60.00 60.00
Element x y z (fractional)
La: 0.250 0.250 0.250
Os: 0.750 0.750 0.750
Pr: 0.000 0.000 0.000


VASP calculation (PBE) on a relaxed structure of LaPrSi4Os2.

The crystal system is monoclinic.

abc: 4.521 4.177 8.313
angles: 90.00 102.34 90.00
Element x y z (fractional)
Si: 0.039 0.500 0.592
Si: 0.331 0.000 0.005
Si: 0.961 0.000 0.407
Si: 0.668 0.500 0.996
Pr: 0.409 0.500 0.298
Os: 0.880 0.000 0.113
Os: 0.120 0.500 0.888
La: 0.591 0.000 0.701


VASP calculation (PBE) on a relaxed structure of LaPrSi2Os2.

The crystal system is tetragonal.

abc: 4.233 4.233 7.124
angles: 90.00 90.00 90.00
Element x y z (fractional)
Os: 0.500 0.000 0.000
Os: 0.000 0.500 0.000
Si: 0.500 0.500 0.172
Si: 0.000 0.000 0.827
Pr: 0.500 0.500 0.679
La: 0.000 0.000 0.323


VASP calculation (PBE) on a relaxed structure of LaPr2Tm3Te2Os.

The crystal system is orthorhombic.

abc: 4.149 8.455 8.455
angles: 120.43 90.00 90.00
Element x y z (fractional)
Te: 0.500 0.333 0.668
Te: 0.500 0.668 0.333
Tm: 0.500 0.998 0.228
Tm: 0.500 0.772 0.772
Tm: 0.500 0.228 0.998
Os: 0.000 0.002 0.002
Pr: 0.000 0.602 0.001
Pr: 0.000 0.001 0.602
La: 0.000 0.397 0.397


VASP calculation (PBE) on a relaxed structure of RbLaOs.

The crystal system is cubic. For the energy relative to the lowest polymorph listed for this composition, the calculation gives 0 meV/atom.

abc: 5.051 5.051 5.051
angles: 60.00 60.00 60.00
Element x y z (fractional)
La: 0.250 0.250 0.250
Rb: 0.750 0.750 0.750
Os: 0.000 0.000 0.000


VASP calculation (PBE) on a relaxed structure of LaReOs.

The crystal system is cubic. The calculation puts the formation energy at 0.828 eV/atom.

abc: 4.527 4.527 4.527
angles: 60.00 60.00 60.00
Element x y z (fractional)
La: 0.250 0.250 0.250
Re: 0.000 0.000 0.000
Os: 0.750 0.750 0.750


VASP calculation (PBE) on a relaxed structure of LaOsS.

The crystal system is trigonal.

abc: 4.032 4.032 4.032
angles: 79.77 79.77 79.77
Element x y z (fractional)
Os: 0.493 0.493 0.493
La: 0.080 0.080 0.080
S: 0.758 0.758 0.758


VASP calculation (PBE) on a relaxed structure of LaSb12Os4.

The crystal system is cubic.

abc: 8.146 8.146 8.146
angles: 109.47 109.47 109.47
Element x y z (fractional)
Sb: 0.340 0.183 0.843
Sb: 0.843 0.340 0.183
Sb: 0.843 0.660 0.503
Sb: 0.157 0.340 0.497
Sb: 0.660 0.503 0.843
Sb: 0.183 0.843 0.340
Sb: 0.503 0.843 0.660
Sb: 0.340 0.497 0.157
Sb: 0.497 0.157 0.340
Sb: 0.660 0.817 0.157
Sb: 0.817 0.157 0.660
Sb: 0.157 0.660 0.817
La: 0.000 0.000 0.000
Os: 0.500 0.000 0.000
Os: 0.000 0.000 0.500
Os: 0.000 0.500 0.000
Os: 0.500 0.500 0.500


VASP calculation (PBE) on a relaxed structure of LaSi3Os.

The crystal system is tetragonal.

abc: 5.848 5.848 5.848
angles: 136.99 136.99 62.45
Element x y z (fractional)
Os: 0.659 0.659 0.000
Si: 0.765 0.265 0.500
Si: 0.265 0.765 0.500
Si: 0.422 0.422 0.000
La: 0.003 0.003 0.000


VASP calculation (PBE) on a relaxed structure of LaSmSi2Os.

The crystal system is monoclinic.

abc: 5.963 5.963 10.353
angles: 117.13 117.13 42.17
Element x y z (fractional)
Os: 0.271 0.271 0.622
Os: 0.729 0.729 0.378
Si: 0.509 0.509 0.133
Si: 0.491 0.491 0.867
Si: 0.344 0.344 0.436
Si: 0.656 0.656 0.564
Sm: 0.995 0.995 0.325
Sm: 0.005 0.005 0.675
La: 0.808 0.808 0.897
La: 0.192 0.192 0.103


VASP calculation (PBE) on a relaxed structure of LaSmSi4Os2.

The crystal system is monoclinic.

abc: 4.504 4.164 8.279
angles: 90.00 102.25 90.00
Element x y z (fractional)
Os: 0.119 0.500 0.888
Os: 0.882 0.000 0.114
Si: 0.332 0.000 0.006
Si: 0.668 0.500 0.997
Si: 0.961 0.000 0.407
Si: 0.039 0.500 0.591
La: 0.591 0.000 0.700
Sm: 0.408 0.500 0.297


VASP calculation (PBE) on a relaxed structure of SrLaSi4Os2.

The crystal system is monoclinic.

abc: 4.576 4.155 8.368
angles: 90.00 102.57 90.00
Element x y z (fractional)
Si: 0.961 0.500 0.407
Si: 0.669 0.000 0.995
Si: 0.041 0.000 0.594
Si: 0.328 0.500 0.004
Sr: 0.414 0.000 0.302
Os: 0.120 0.000 0.886
Os: 0.878 0.500 0.111
La: 0.590 0.500 0.701


VASP calculation (PBE) on a relaxed structure of SrLaSi2Os2.

The crystal system is tetragonal.

abc: 4.277 4.277 7.318
angles: 90.00 90.00 90.00
Element x y z (fractional)
Os: 0.000 0.500 0.005
Os: 0.500 0.000 0.005
Sr: 0.500 0.500 0.671
Si: 0.500 0.500 0.165
Si: 0.000 0.000 0.845
La: 0.000 0.000 0.309


no.,E_tot (eV/atom)
1,-9.0665
2,-8.2010
3,-6.9055
4,-7.3259
5,-6.6600
6,-7.4310
7,-8.4346
8,-6.2997
9,-5.3136
10,-6.6735
11,-6.2987
12,-7.2182
13,-6.3122
14,-7.4659
15,-7.8046
16,-5.8196
17,-4.7375
18,-8.6961
19,-6.7093
20,-6.0436
21,-7.1402
22,-7.0377
23,-7.4668
24,-6.9456
25,-7.1707